The following is a DFT calculation (PBE) of a geometry-optimized Tm2Ag2TeSe3 structure.

DFT total energy ... -0.34127 Ry/atom
Volume ... 199.23 Å³ per cell

Cell lengths 6.786, 6.786, 4.329 Å; angles 90.45, 90.45, 88.07 degrees
Sites, in units of the cell vectors:
Ag1 0.998 0.499 0.018
Ag2 0.499 0.998 0.018
Se1 0.799 0.200 0.282
Se2 0.200 0.799 0.282
Se3 0.704 0.704 0.712
Te1 0.296 0.296 0.692
Tm1 0.513 0.513 0.197
Tm2 0.991 0.991 0.799